No. 1
HfSc3Cu at its PBEsol-relaxed geometry. Source: Alexandria via LeMat-Bulk, functional SCAN.

```
HfSc3Cu
1.0
5.0618 0.0000 0.0000
0.0000 5.0618 0.0000
0.0000 0.0000 5.0618
Sc Hf Cu
3 1 1
direct
0.5000 0.0000 0.0000
0.0000 0.5000 0.0000
0.0000 0.0000 0.5000
0.0000 0.0000 0.0000
0.5000 0.5000 0.5000
```

Calculated values
As for the density of states at the Fermi level: 2.48 states/eV per cell. For the calculated volume, the calculation gives 25.9 Å³ per atom. The space group is Pm-3m. The formation energy is 1.041 eV/atom. The calculation puts the total energy at -115.38 eV for the cell shown. As for the magnetic moment: 0.00 μB/cell.



No. 2
HfCuSe3 at its PBEsol-relaxed geometry. Source: Alexandria via LeMat-Bulk, functional SCAN.

```
HfCuSe3
1.0
-3.8871 -2.0318 -1.5080
-1.0469 -1.2249 4.3492
-2.3035 3.9854 0.5679
Cu Se Hf
1 3 1
direct
0.0000 0.0000 0.0000
0.0000 0.0000 0.5000
0.5000 0.0000 0.0000
0.0000 0.5000 0.0000
0.5000 0.5000 0.5000
```

Calculated values
As for the density of states at the Fermi level: 2.33 states/eV per cell. Its uncorrected formation energy is 0.210 eV/atom. For the calculated volume, the calculation gives 20.0 Å³ per atom. The space group is Pm-3m. The calculation puts the total energy at -137.06 eV for the cell shown. As for the magnetic moment: 0.00 μB/cell.



No. 3
HfCu3Se at its PBEsol-relaxed geometry. Source: Alexandria via LeMat-Bulk, functional SCAN.

```
HfCu3Se
1.0
-3.5128 -1.2140 2.4179
-0.6359 -3.4810 -2.6716
2.6297 -2.4633 2.5838
Cu Hf Se
3 1 1
direct
0.0000 0.0000 0.5000
0.0000 0.5000 0.0000
0.5000 0.0000 0.0000
0.5000 0.5000 0.5000
0.0000 0.0000 0.0000
```

Calculated values
As for the density of states at the Fermi level: 1.60 states/eV per cell. Its uncorrected formation energy is 0.733 eV/atom. For the calculated volume, the calculation gives 17.4 Å³ per atom. The space group is Pm-3m. The calculation puts the total energy at -124.69 eV for the cell shown. As for the magnetic moment: 0.00 μB/cell.



No. 4
HfCuSi2 at its PBEsol-relaxed geometry. Source: Alexandria via LeMat-Bulk, functional SCAN.

```
HfCuSi2
1.0
3.6535 0.0000 0.0000
0.0000 3.6535 0.0000
0.0000 0.0000 8.8610
Si Cu Hf
4 2 2
direct
0.0000 0.0000 0.5000
0.5000 0.5000 0.5000
0.0000 0.5000 0.1737
0.5000 0.0000 0.8263
0.0000 0.0000 0.0000
0.5000 0.5000 0.0000
0.0000 0.5000 0.7349
0.5000 0.0000 0.2651
```

Calculated values
As for the density of states at the Fermi level: 3.37 states/eV per cell. Its uncorrected formation energy is -0.468 eV/atom. For the calculated volume, the calculation gives 14.8 Å³ per atom. The space group is P4/nmm. The calculation puts the total energy at -199.55 eV for the cell shown. As for the magnetic moment: 0.00 μB/cell.



No. 5
HfCuSi at its PBEsol-relaxed geometry. Source: Alexandria via LeMat-Bulk, functional SCAN.

```
HfCuSi
1.0
3.8627 0.0000 0.0000
0.0000 6.3740 0.0000
0.0000 0.0000 7.1811
Hf Cu Si
4 4 4
direct
0.2500 0.5091 0.6926
0.7500 0.9909 0.1926
0.2500 0.0091 0.8074
0.7500 0.4909 0.3074
0.2500 0.6712 0.0778
0.7500 0.8288 0.5778
0.2500 0.1712 0.4222
0.7500 0.3288 0.9222
0.2500 0.2805 0.1008
0.2500 0.7805 0.3992
0.7500 0.2195 0.6008
0.7500 0.7195 0.8992
```

Calculated values
As for the density of states at the Fermi level: 4.70 states/eV per cell. Its uncorrected formation energy is -0.638 eV/atom. For the calculated volume, the calculation gives 14.7 Å³ per atom. The space group is Pnma. The calculation puts the total energy at -359.21 eV for the cell shown. As for the magnetic moment: 0.00 μB/cell.



No. 6
HfCuSi2 at its PBEsol-relaxed geometry. Source: Alexandria via LeMat-Bulk, functional SCAN.

```
HfCuSi2
1.0
-0.7555 -3.8701 -0.6690
3.9149 -0.7964 0.1862
-2.2330 1.0416 8.4516
Cu Si Hf
2 4 2
direct
0.5000 0.5000 0.0000
0.7500 0.2500 0.5000
0.8029 0.3750 0.2500
0.6250 0.5529 0.7500
0.1250 0.1971 0.7500
0.4471 0.8750 0.2500
0.2500 0.7500 0.5000
0.0000 0.0000 0.0000
```

Calculated values
As for the density of states at the Fermi level: 4.00 states/eV per cell. Its uncorrected formation energy is 0.080 eV/atom. For the calculated volume, the calculation gives 16.7 Å³ per atom. The space group is I-42d. The calculation puts the total energy at -195.17 eV for the cell shown. As for the magnetic moment: 0.00 μB/cell.



No. 7
Hf3Cu4Si2 at its PBEsol-relaxed geometry. Source: Alexandria via LeMat-Bulk, functional SCAN.

```
Hf3Cu4Si2
1.0
-0.5914 -3.5647 -1.5783
3.3975 1.6271 -4.9480
2.7392 -2.6340 4.9226
Hf Cu Si
3 4 2
direct
0.5000 0.4139 0.4139
0.5000 0.0000 0.5861
0.5000 0.5861 0.0000
0.0000 0.2459 0.0000
0.0000 0.0000 0.2459
0.5000 0.0000 0.0000
0.0000 0.7541 0.7541
0.0000 0.3333 0.6667
0.0000 0.6667 0.3333
```

Calculated values
As for the density of states at the Fermi level: 2.52 states/eV per cell. Its uncorrected formation energy is -0.534 eV/atom. For the calculated volume, the calculation gives 14.7 Å³ per atom. The space group is P-62m. The calculation puts the total energy at -273.66 eV for the cell shown. As for the magnetic moment: 0.00 μB/cell.



No. 8
SrHfCuSi2 at its PBEsol-relaxed geometry. Source: Alexandria via LeMat-Bulk, functional SCAN.

```
SrHfCuSi2
1.0
4.6533 0.0000 0.0000
0.0000 5.0341 0.0000
0.0000 0.0000 5.0341
Si Sr Cu Hf
2 1 1 1
direct
0.0000 0.5000 0.0000
0.0000 0.0000 0.5000
0.0000 0.0000 0.0000
0.5000 0.0000 0.0000
0.5000 0.5000 0.5000
```

Calculated values
As for the density of states at the Fermi level: 2.94 states/eV per cell. Its uncorrected formation energy is 1.826 eV/atom. For the calculated volume, the calculation gives 23.6 Å³ per atom. The space group is P4/mmm. The calculation puts the total energy at -111.05 eV for the cell shown. As for the magnetic moment: 0.00 μB/cell.



No. 9
Hf5CuSn3 at its PBEsol-relaxed geometry. Source: Alexandria via LeMat-Bulk, functional SCAN.

```
Hf5CuSn3
1.0
-0.2251 5.5077 -1.6147
0.3430 -2.3696 -8.1303
-7.4999 0.8253 3.8608
Hf Sn Cu
10 6 2
direct
0.7500 0.0000 0.2623
0.2500 0.0000 0.7377
0.7500 0.7377 0.7377
0.2500 0.7377 0.0000
0.7500 0.2623 0.0000
0.2500 0.2623 0.2623
0.0000 0.6667 0.3333
0.5000 0.6667 0.3333
0.0000 0.3333 0.6667
0.5000 0.3333 0.6667
0.2500 0.0000 0.3873
0.2500 0.6127 0.6127
0.7500 0.0000 0.6127
0.7500 0.6127 0.0000
0.2500 0.3873 0.0000
0.7500 0.3873 0.3873
0.5000 0.0000 0.0000
0.0000 0.0000 0.0000
```

Calculated values
As for the density of states at the Fermi level: 13.10 states/eV per cell. For the calculated volume, the calculation gives 19.9 Å³ per atom. The space group is P6_3/mcm. The formation energy is -0.457 eV/atom. The calculation puts the total energy at -880.89 eV for the cell shown. As for the magnetic moment: 0.00 μB/cell.



No. 10
HfCuSn3 at its PBEsol-relaxed geometry. Source: Alexandria via LeMat-Bulk, functional SCAN.

```
HfCuSn3
1.0
-0.0533 -0.2136 4.9207
1.5223 -4.6807 -0.1867
4.6841 1.5188 0.1166
Sn Cu Hf
3 1 1
direct
0.0000 0.5000 0.0000
0.0000 0.0000 0.5000
0.5000 0.0000 0.0000
0.0000 0.0000 0.0000
0.5000 0.5000 0.5000
```

Calculated values
As for the density of states at the Fermi level: 4.33 states/eV per cell. For the calculated volume, the calculation gives 23.9 Å³ per atom. The space group is Pm-3m. The formation energy is 0.624 eV/atom. The calculation puts the total energy at -182.52 eV for the cell shown. As for the magnetic moment: 0.00 μB/cell.



No. 11
Hf2CuTc at its PBEsol-relaxed geometry. Source: Alexandria via LeMat-Bulk, functional SCAN.

```
Hf2CuTc
1.0
-2.8579 -3.3172 -1.2076
1.2089 -4.3455 0.5342
-2.0068 -2.5404 3.1858
Hf Tc Cu
2 1 1
direct
0.2500 0.2500 0.2500
0.7500 0.7500 0.7500
0.0000 0.0000 0.0000
0.5000 0.5000 0.5000
```

Calculated values
As for the density of states at the Fermi level: 2.58 states/eV per cell. For the calculated volume, the calculation gives 16.6 Å³ per atom. The space group is Fm-3m. The formation energy is -0.427 eV/atom. The calculation puts the total energy at -177.31 eV for the cell shown. As for the magnetic moment: 0.00 μB/cell.



No. 12
HfCu3Te at its PBEsol-relaxed geometry. Source: Alexandria via LeMat-Bulk, functional SCAN.

```
HfCu3Te
1.0
-3.2158 1.1107 -3.3722
1.0953 -4.0175 -2.3678
-3.3772 -2.3606 2.4431
Cu Te Hf
3 1 1
direct
0.0000 0.0000 0.5000
0.5000 0.0000 0.0000
0.0000 0.5000 0.0000
0.5000 0.5000 0.5000
0.0000 0.0000 0.0000
```

Calculated values
As for the density of states at the Fermi level: 3.37 states/eV per cell. Its uncorrected formation energy is 1.272 eV/atom. For the calculated volume, the calculation gives 22.0 Å³ per atom. The space group is Pm-3m. The calculation puts the total energy at -139.16 eV for the cell shown. As for the magnetic moment: 0.00 μB/cell.